No. 1
Density functional theory data (GGA-PBE) for a relaxed Cd3Mo crystal.

CIF file:
```
data_Cd3Mo
_chemical_formula_sum 'Cd6 Mo2'
_cell_length_a 3.699
_cell_length_b 4.456
_cell_length_c 9.510
_cell_angle_alpha 90.00
_cell_angle_beta 90.00
_cell_angle_gamma 90.00
_symmetry_space_group_name_H-M 'C m m m'
_symmetry_Int_Tables_number 65
_symmetry_space_group_name_Hall '-C 2 2'
loop_
_atom_site_label
_atom_site_type_symbol
_atom_site_fract_x
_atom_site_fract_y
_atom_site_fract_z
Cd1 Cd 0.000 0.000 0.000
Cd2 Cd 0.000 0.500 0.265
Mo1 Mo 0.000 0.000 0.500
```

Summary:
The calculation puts the formation energy at 0.300 eV per atom. The calculation puts the energy above the most stable polymorph in this dataset at 21 meV per atom. The density of states at the Fermi level comes out at 0.43 states/eV/atom. As for the crystal system: orthorhombic. Its total energy is -3.09 eV/atom. The mass density is 9.178 g cm⁻³.

***

No. 2
Density functional theory data (GGA-PBE) for a relaxed Be2PAu crystal.

CIF file:
```
data_Be2PAu
_chemical_formula_sum 'Be2 P1 Au1'
_cell_length_a 3.925
_cell_length_b 3.925
_cell_length_c 3.308
_cell_angle_alpha 90.00
_cell_angle_beta 90.00
_cell_angle_gamma 90.00
_symmetry_space_group_name_H-M 'P 4/m m m'
_symmetry_Int_Tables_number 123
_symmetry_space_group_name_Hall '-P 4 2'
loop_
_atom_site_label
_atom_site_type_symbol
_atom_site_fract_x
_atom_site_fract_y
_atom_site_fract_z
Be1 Be 0.000 0.500 0.000
P1 P 0.000 0.000 0.500
Au1 Au 0.500 0.500 0.500
```

Summary:
The calculation puts the formation energy at 0.271 eV per atom. The density of states at the Fermi level comes out at 0.25 states/eV/atom. As for the crystal system: tetragonal. Its total energy is -3.76 eV/atom. The mass density is 8.013 g cm⁻³.

***

No. 3
Density functional theory data (GGA-PBE) for a relaxed TlInI2 crystal.

CIF file:
```
data_TlInI2
_chemical_formula_sum 'Tl4 In4 I8'
_cell_length_a 8.496
_cell_length_b 8.496
_cell_length_c 8.496
_cell_angle_alpha 90.00
_cell_angle_beta 90.00
_cell_angle_gamma 90.00
_symmetry_space_group_name_H-M 'F m -3 m'
_symmetry_Int_Tables_number 225
_symmetry_space_group_name_Hall '-F 4 2 3'
loop_
_atom_site_label
_atom_site_type_symbol
_atom_site_fract_x
_atom_site_fract_y
_atom_site_fract_z
Tl1 Tl 0.000 0.000 0.000
In1 In 0.000 0.000 0.500
I1 I 0.250 0.250 0.250
```

Summary:
The calculation puts the energy above the most stable polymorph in this dataset at 51 meV per atom. The density of states at the Fermi level comes out at 0.00 states/eV/atom. As for the crystal system: cubic. Its total energy is -2.56 eV/atom. The mass density is 6.207 g cm⁻³.

***

mass density of number 2 (Be2PAu)? 8.013 g cm⁻³

***

What did the second record say?
Density functional theory data (GGA-PBE) for a relaxed Be2PAu crystal.

CIF file:
```
data_Be2PAu
_chemical_formula_sum 'Be2 P1 Au1'
_cell_length_a 3.925
_cell_length_b 3.925
_cell_length_c 3.308
_cell_angle_alpha 90.00
_cell_angle_beta 90.00
_cell_angle_gamma 90.00
_symmetry_space_group_name_H-M 'P 4/m m m'
_symmetry_Int_Tables_number 123
_symmetry_space_group_name_Hall '-P 4 2'
loop_
_atom_site_label
_atom_site_type_symbol
_atom_site_fract_x
_atom_site_fract_y
_atom_site_fract_z
Be1 Be 0.000 0.500 0.000
P1 P 0.000 0.000 0.500
Au1 Au 0.500 0.500 0.500
```

Summary:
The calculation puts the formation energy at 0.271 eV per atom. The density of states at the Fermi level comes out at 0.25 states/eV/atom. As for the crystal system: tetragonal. Its total energy is -3.76 eV/atom. The mass density is 8.013 g cm⁻³.

***

Which value of mass density does entry 2 give? 8.013 g cm⁻³